No. 1
{"formula": "Si6Se7", "functional": "PBE-GGA", "state": "optimized geometry", "spacegroup": "R-3m", "e_form_raw_ev_per_atom": 0.379, "lattice": [[3.478, 2.008, 7.533], [-3.478, 2.008, 7.533], [0.000, -4.016, 7.533]], "species": ["Si", "Si", "Si", "Si", "Si", "Si", "Se", "Se", "Se", "Se", "Se", "Se", "Se"], "frac_coords": [[0.085, 0.085, 0.085], [0.194, 0.194, 0.194], [0.318, 0.318, 0.318], [0.682, 0.682, 0.682], [0.806, 0.806, 0.806], [0.915, 0.915, 0.915], [0.077, 0.583, 0.583], [0.417, 0.417, 0.923], [0.417, 0.923, 0.417], [0.500, 0.500, 0.500], [0.583, 0.077, 0.583], [0.583, 0.583, 0.077], [0.923, 0.417, 0.417]]}



No. 2
{"formula": "ScCo12", "functional": "PBE-GGA", "state": "optimized geometry", "ef_ev_per_atom": 0.8531, "spacegroup": "Fm-3m", "lattice": [[0.000, 4.705, 4.705], [4.705, 0.000, 4.705], [4.705, 4.705, 0.000]], "species": ["Sc", "Co", "Co", "Co", "Co", "Co", "Co", "Co", "Co", "Co", "Co", "Co", "Co"], "frac_coords": [[0.000, 0.000, 0.000], [0.160, 0.500, 0.500], [0.160, 0.500, 0.840], [0.160, 0.840, 0.500], [0.500, 0.160, 0.500], [0.500, 0.160, 0.840], [0.500, 0.500, 0.160], [0.500, 0.500, 0.840], [0.500, 0.840, 0.160], [0.500, 0.840, 0.500], [0.840, 0.160, 0.500], [0.840, 0.500, 0.160], [0.840, 0.500, 0.500]]}



Number 1: energy -52.006 eV/cell, calculated volume 316 Å³/cell. Number 2: energy -80.511 eV/cell, calculated volume 208 Å³/cell.